# Ac2Mg3AgPb4 (PBE-GGA, optimized geometry)
data_Ac2Mg3AgPb4
_space_group_name_H-M_alt 'P -4 m 2'
_space_group_IT_number 115
_cell_length_a 4.975
_cell_length_b 4.975
_cell_length_c 11.747
_cell_angle_alpha 90.00
_cell_angle_beta 90.00
_cell_angle_gamma 90.00
loop_
_space_group_symop_operation_xyz
'x,y,z'
'y,-x,-z'
'-x,-y,z'
'-y,x,-z'
'-x,y,z'
'-y,-x,-z'
'x,-y,z'
'y,x,-z'
loop_
_atom_site_label
_atom_site_type_symbol
_atom_site_fract_x
_atom_site_fract_y
_atom_site_fract_z
Ac1 Ac 0.000 0.500 0.248
Mg1 Mg 0.000 0.500 0.872
Mg2 Mg 0.500 0.500 0.500
Ag1 Ag 0.000 0.000 0.500
Pb1 Pb 0.000 0.000 0.000
Pb2 Pb 0.000 0.500 0.637
Pb3 Pb 0.500 0.500 0.000
# Formation energy from the elements, eV/atom: -0.283
# Electronic total energy, eV/atom: -3.35
# D(E_F), states/eV/cell: 1.9



# Ac2MgAg3Pb4 (PBE-GGA, optimized geometry)
data_Ac2MgAg3Pb4
_space_group_name_H-M_alt 'P -4 m 2'
_space_group_IT_number 115
_cell_length_a 4.737
_cell_length_b 4.737
_cell_length_c 12.546
_cell_angle_alpha 90.00
_cell_angle_beta 90.00
_cell_angle_gamma 90.00
loop_
_space_group_symop_operation_xyz
'x,y,z'
'y,-x,-z'
'-x,-y,z'
'-y,x,-z'
'-x,y,z'
'-y,-x,-z'
'x,-y,z'
'y,x,-z'
loop_
_atom_site_label
_atom_site_type_symbol
_atom_site_fract_x
_atom_site_fract_y
_atom_site_fract_z
Ac1 Ac 0.000 0.500 0.250
Mg1 Mg 0.000 0.000 0.500
Ag1 Ag 0.000 0.500 0.858
Ag2 Ag 0.500 0.500 0.500
Pb1 Pb 0.000 0.000 0.000
Pb2 Pb 0.000 0.500 0.638
Pb3 Pb 0.500 0.500 0.000
# Formation energy from the elements, eV/atom: -0.288
# Electronic total energy, eV/atom: -3.61
# D(E_F), states/eV/cell: 2.8